! LiMnN2F GGA+U relaxed; values from VASP
! Distance to the lowest polymorph of the same formula in eV/atom: 0.000
! Symmetry: No. 123
&SYSTEM
  ibrav = 0, nat = 5, ntyp = 4
/
ATOMIC_SPECIES
F 19.00 F.upf
N 14.01 N.upf
Li 6.94 Li.upf
Mn 54.94 Mn.upf
CELL_PARAMETERS angstrom
-0.483 -0.747 3.470
-0.011 -3.502 -0.755
4.107 -0.130 0.543
ATOMIC_POSITIONS crystal
F 0.000 0.000 0.500
N 0.500 0.000 0.000
N 0.000 0.500 0.000
Li 0.500 0.500 0.500
Mn 0.000 0.000 0.000